(1)
! Mn2CrTeP | Alexandria | GGA-PBE | optimized geometry; values from VASP
! Total DFT energy (no corrections) (eV per atom): -7.13
! DOS(E_F) (states/eV/cell): 4.32
! Formation energy without anion corrections (meV/atom): 172
! Space-group type: P4/mmm (123)
! Calculated volume (A^3/atom): 18.66
! Total magnetic moment (Bohr magnetons per cell): 3.664
&SYSTEM
  ibrav = 0, nat = 5, ntyp = 4
/
ATOMIC_SPECIES
Mn 54.94 Mn.upf
Cr 52.00 Cr.upf
Te 127.60 Te.upf
P 30.97 P.upf
CELL_PARAMETERS angstrom
4.496 0.000 0.000
0.000 4.496 0.000
0.000 0.000 4.615
ATOMIC_POSITIONS angstrom
Mn 0.000 2.248 0.000
Mn 2.248 0.000 0.000
Cr 0.000 0.000 2.308
Te 2.248 2.248 2.308
P 0.000 0.000 0.000

=====

(2)
! PrHo2Tm9 | Alexandria | GGA-PBE | optimized geometry; values from VASP
! Total DFT energy (no corrections) (eV per atom): -4.49
! DOS(E_F) (states/eV/cell): 16.90
! Calculated formation energy (eV/atom): 0.0285
! Space-group type: P4/mmm (123)
! Calculated volume (A^3/atom): 30.65
! Energy above the most stable polymorph in this dataset (eV/f.u.): 0.00
! Total magnetic moment (Bohr magnetons per cell): 0.000
&SYSTEM
  ibrav = 0, nat = 12, ntyp = 3
/
ATOMIC_SPECIES
Pr 140.91 Pr.upf
Ho 164.93 Ho.upf
Tm 168.93 Tm.upf
CELL_PARAMETERS angstrom
4.968 0.000 0.000
0.000 4.968 0.000
0.000 0.000 14.900
ATOMIC_POSITIONS angstrom
Pr 0.000 0.000 0.000
Ho 0.000 0.000 4.982
Ho 0.000 0.000 9.918
Tm 0.000 2.484 2.526
Tm 0.000 2.484 7.450
Tm 0.000 2.484 12.374
Tm 2.484 0.000 2.526
Tm 2.484 0.000 7.450
Tm 2.484 0.000 12.374
Tm 2.484 2.484 0.000
Tm 2.484 2.484 4.995
Tm 2.484 2.484 9.905

=====

Question: What is the calculated volume in the first record?
Answer: 18.66 A^3/atom

=====

Copy entry 2 word for word.
! PrHo2Tm9 | Alexandria | GGA-PBE | optimized geometry; values from VASP
! Total DFT energy (no corrections) (eV per atom): -4.49
! DOS(E_F) (states/eV/cell): 16.90
! Calculated formation energy (eV/atom): 0.0285
! Space-group type: P4/mmm (123)
! Calculated volume (A^3/atom): 30.65
! Energy above the most stable polymorph in this dataset (eV/f.u.): 0.00
! Total magnetic moment (Bohr magnetons per cell): 0.000
&SYSTEM
  ibrav = 0, nat = 12, ntyp = 3
/
ATOMIC_SPECIES
Pr 140.91 Pr.upf
Ho 164.93 Ho.upf
Tm 168.93 Tm.upf
CELL_PARAMETERS angstrom
4.968 0.000 0.000
0.000 4.968 0.000
0.000 0.000 14.900
ATOMIC_POSITIONS angstrom
Pr 0.000 0.000 0.000
Ho 0.000 0.000 4.982
Ho 0.000 0.000 9.918
Tm 0.000 2.484 2.526
Tm 0.000 2.484 7.450
Tm 0.000 2.484 12.374
Tm 2.484 0.000 2.526
Tm 2.484 0.000 7.450
Tm 2.484 0.000 12.374
Tm 2.484 2.484 0.000
Tm 2.484 2.484 4.995
Tm 2.484 2.484 9.905

=====

Question: Which formula does entry 2 have?
Answer: PrHo2Tm9

=====

Question: Among the records above, which one has the highest total DFT energy (no corrections)?
Answer: PrHo2Tm9